Entry 1:
DFT (PBE) results for an optimized crystal structure of Al4Ag3.

Cell and atoms, written as POSCAR:
```
Al4Ag3
1.0
2.8024 0.0000 0.0000
0.0000 9.0567 -5.2289
0.0000 0.0000 10.4576
Al Ag
8 6
direct
0.2500 0.2013 0.2546 Al
0.7500 0.3333 0.6667 Al
0.7500 0.7987 0.7454 Al
0.2500 0.7454 0.9467 Al
0.2500 0.0533 0.7987 Al
0.2500 0.6667 0.3333 Al
0.7500 0.9467 0.2013 Al
0.7500 0.2546 0.0533 Al
0.7500 0.6387 0.0978 Ag
0.7500 0.9022 0.5408 Ag
0.7500 0.4592 0.3613 Ag
0.2500 0.5408 0.6387 Ag
0.2500 0.3613 0.9022 Ag
0.2500 0.0978 0.4592 Ag
```

Properties
V: 18.96 Å³/atom
Symmetry: P6_3/m, No. 176
E: -45.325 eV/cell

---

Entry 2:
DFT (PBE) results for an optimized crystal structure of CeNdTh.

Cell and atoms, written as POSCAR:
```
CeNdTh
1.0
3.5520 0.0000 0.0000
0.0000 3.5520 0.0000
-1.7760 -1.7760 7.5858
Ce Nd Th
1 1 1
direct
0.6737 0.6737 0.3475 Ce
0.9975 0.9975 0.9950 Nd
0.3288 0.3288 0.6575 Th
```

Properties
V: 31.90 Å³/atom
Symmetry: I4mm, No. 107
E: -17.909 eV/cell

---

Q: E of number 2 (CeNdTh)?
A: -17.909 eV/cell